No. 1
The following is a DFT calculation (GGA-PBE) of a geometry-optimized ScAg5Se4 structure.

Energy above the lowest structure with this stoichiometry ... 0.24 eV per formula unit
N(E_F) ... 0.081 states/eV/atom
Space-group type ... Immm, No. 71

Lattice parameters (Å, degrees): 4.1134 7.6463 8.5429 116.59 103.93 90.00
With the nearest neighbours (Å) after each atom.
Atoms (fractional coordinates):
Sc1 0.5000 0.0000 0.0000  6 Se 2.77-2.81
Ag1 0.1814 0.4383 0.3627  4 Se 2.67-2.85, 2 Ag 2.88
Ag2 0.1815 0.9246 0.3629  4 Se 2.67-2.85, 2 Ag 2.88
Ag3 0.8185 0.0754 0.6371  4 Se 2.67-2.85, 2 Ag 2.88
Ag4 0.5000 0.5000 0.0000  4 Se 2.81
Ag5 0.8186 0.5617 0.6373  4 Se 2.67-2.85, 2 Ag 2.88
Se1 0.6881 0.1882 0.3762  6 Ag 2.67-2.85, 1 Sc 2.77
Se2 0.9999 0.2505 0.9999  4 Ag 2.67-2.81, 2 Sc 2.81
Se3 0.3119 0.8118 0.6238  6 Ag 2.67-2.85, 1 Sc 2.77
Se4 0.0001 0.7495 0.0001  4 Ag 2.67-2.81, 2 Sc 2.81

No. 2
The following is a DFT calculation (GGA-PBE) of a geometry-optimized ScAgSe2 structure.

N(E_F) ... 0.270 states/eV/atom
Space-group type ... Pmmm, No. 47

Lattice parameters (Å, degrees): 4.1270 5.7076 3.5577 90.00 90.00 90.00
With the nearest neighbours (Å) after each atom.
Atoms (fractional coordinates):
Ag1 0.5000 0.0000 0.5000  4 Se 2.72
Sc1 0.0000 0.5000 0.5000  4 Se 2.72
Se1 0.0000 0.0000 0.0000  4 Ag 2.72
Se2 0.5000 0.5000 0.0000  4 Sc 2.72

No. 3
The following is a DFT calculation (GGA-PBE) of a geometry-optimized Sc2AgSe4 structure.

N(E_F) ... 0.415 states/eV/atom
Space-group type ... C2/c, No. 15

Lattice parameters (Å, degrees): 7.9610 7.9610 7.9472 59.95 59.95 90.14
With the nearest neighbours (Å) after each atom.
Atoms (fractional coordinates):
Sc1 0.5000 0.5000 0.5000  6 Se 2.71
Sc2 0.5000 0.0000 0.5000  6 Se 2.71
Sc3 0.0000 0.0000 0.0000  6 Se 2.71
Sc4 0.5000 0.0000 0.0000  6 Se 2.71
Ag1 0.8747 0.6253 0.7500  4 Se 2.61
Ag2 0.1253 0.3747 0.2500  4 Se 2.61
Se1 0.2580 0.7776 0.9830  1 Ag 2.61, 3 Sc 2.71
Se2 0.7420 0.2224 0.0170  1 Ag 2.61, 3 Sc 2.71
Se3 0.2776 0.7580 0.4830  1 Ag 2.61, 3 Sc 2.71
Se4 0.2608 0.2410 0.5169  1 Ag 2.61, 3 Sc 2.71
Se5 0.2590 0.2392 0.9831  1 Ag 2.61, 3 Sc 2.71
Se6 0.7392 0.7590 0.4831  1 Ag 2.61, 3 Sc 2.71
Se7 0.7224 0.2420 0.5170  1 Ag 2.61, 3 Sc 2.71
Se8 0.7410 0.7608 0.0169  1 Ag 2.61, 3 Sc 2.71

No. 4
The following is a DFT calculation (GGA-PBE) of a geometry-optimized ScAg2Se structure.

N(E_F) ... 1.052 states/eV/atom
Space-group type ... F-43m, No. 216

Lattice parameters (Å, degrees): 4.8115 4.8115 4.8115 120.06 120.06 89.90
With the nearest neighbours (Å) after each atom.
Atoms (fractional coordinates):
Ag1 0.0000 0.0000 0.0000  4 Se 2.95, 4 Ag 2.95
Ag2 0.2500 0.7500 0.5000  4 Ag 2.95, 4 Sc 2.95
Sc1 0.5000 0.5000 0.0000  4 Ag 2.95, 4 Se 2.95
Se1 0.7500 0.2500 0.5000  4 Sc 2.95, 4 Ag 2.95

No. 5
The following is a DFT calculation (GGA-PBE) of a geometry-optimized ScAgSe2 structure.

N(E_F) ... 0.112 states/eV/atom
Space-group type ... Fm-3m, No. 225

Lattice parameters (Å, degrees): 4.8434 4.8434 4.8434 60.00 60.00 60.00
With the nearest neighbours (Å) after each atom.
Atoms (fractional coordinates):
Sc1 0.0000 0.0000 0.0000  8 Se 2.97
Se1 0.2500 0.2500 0.2500  4 Sc 2.97, 4 Ag 2.97
Se2 0.7500 0.7500 0.7500  4 Ag 2.97, 4 Sc 2.97
Ag1 0.5000 0.5000 0.5000  8 Se 2.97

No. 6
The following is a DFT calculation (GGA-PBE) of a geometry-optimized ScAg2Se structure.

N(E_F) ... 0.847 states/eV/atom
Space-group type ... R-3m, No. 166

Lattice parameters (Å, degrees): 8.8381 8.8381 8.8381 21.87 21.87 21.87
With the nearest neighbours (Å) after each atom.
Atoms (fractional coordinates):
Ag1 0.0006 0.0006 0.0006  3 Se 2.89, 3 Sc 2.91
Ag2 0.4994 0.4994 0.4994  3 Se 2.89, 3 Sc 2.91
Sc1 0.2500 0.2500 0.2500  6 Ag 2.91
Se1 0.7500 0.7500 0.7500  6 Ag 2.89

No. 7
The following is a DFT calculation (GGA-PBE) of a geometry-optimized ScAg5Se4 structure.

Energy above the lowest structure with this stoichiometry ... 0.00 eV per formula unit
N(E_F) ... 0.132 states/eV/atom
Space-group type ... C2/m, No. 12

Lattice parameters (Å, degrees): 4.0027 6.6772 8.5340 101.73 103.56 90.00
With the nearest neighbours (Å) after each atom.
Atoms (fractional coordinates):
Sc1 0.5000 0.0000 0.0000  6 Se 2.74-2.82
Ag1 0.1979 0.0902 0.3959  3 Se 2.74-2.77, 5 Ag 2.95-3.05
Ag2 0.1952 0.6468 0.3904  2 Se 2.64-2.65, 1 Ag 2.95
Ag3 0.8048 0.3532 0.6096  2 Se 2.64-2.65, 1 Ag 2.95
Ag4 0.5000 0.5000 0.0000  6 Se 2.80-2.89
Ag5 0.8021 0.9098 0.6041  3 Se 2.74-2.77, 5 Ag 2.95-3.05
Se1 0.6426 0.3158 0.2853  4 Ag 2.65-2.89, 1 Sc 2.82
Se2 0.0577 0.7875 0.1154  4 Ag 2.64-2.80, 2 Sc 2.74
Se3 0.3574 0.6842 0.7147  4 Ag 2.65-2.89, 1 Sc 2.82
Se4 0.9423 0.2125 0.8846  4 Ag 2.64-2.80, 2 Sc 2.74

No. 8
The following is a DFT calculation (GGA-PBE) of a geometry-optimized ScAg2Se structure.

N(E_F) ... 0.728 states/eV/atom
Space-group type ... P4/mmm, No. 123

Lattice parameters (Å, degrees): 3.8433 3.8433 5.4636 90.00 90.00 90.01
With the nearest neighbours (Å) after each atom.
Atoms (fractional coordinates):
Ag1 0.0000 0.0000 0.0045  2 Ag 2.68-2.78
Ag2 0.0000 0.0000 0.4955  2 Ag 2.68-2.78
Sc1 0.5000 0.5000 0.2500  2 Se 2.73, 8 Ag 3.03
Se1 0.5000 0.5000 0.7500  2 Sc 2.73, 8 Ag 3.05

No. 9
The following is a DFT calculation (GGA-PBE) of a geometry-optimized ScAgSe2 structure.

N(E_F) ... 0.416 states/eV/atom
Space-group type ... P4/mmm, No. 123

Lattice parameters (Å, degrees): 3.4104 3.4104 7.0108 90.00 90.00 89.96
With the nearest neighbours (Å) after each atom.
Atoms (fractional coordinates):
Ag1 0.5000 0.5000 0.2500  8 Se 3.08, 4 Ag 3.41
Sc1 0.5000 0.5000 0.7500  8 Se 2.88-2.89
Se1 0.0000 0.0000 0.9759  4 Sc 2.88-2.89, 4 Ag 3.08, 1 Se 3.17
Se2 0.0000 0.0000 0.5241  4 Sc 2.88-2.89, 4 Ag 3.08, 1 Se 3.17

No. 10
The following is a DFT calculation (GGA-PBE) of a geometry-optimized ScAgSe2 structure.

Space-group type ... R3m, No. 160

Lattice parameters (Å, degrees): 3.8218 3.8218 7.3457 74.92 74.92 60.00
With the nearest neighbours (Å) after each atom.
Atoms (fractional coordinates):
Sc1 0.5010 0.5010 0.4971  6 Se 2.75-2.77
Ag1 0.6654 0.6654 0.0037  6 Se 2.86-2.90
Se1 0.0881 0.0881 0.7358  3 Sc 2.77, 3 Ag 2.90
Se2 0.2455 0.2455 0.2634  3 Sc 2.75, 3 Ag 2.86

No. 11
The following is a DFT calculation (GGA-PBE) of a geometry-optimized ScAgSe2 structure.

Space-group type ... C2/m, No. 12

Lattice parameters (Å, degrees): 3.9512 3.9512 6.9987 73.38 73.38 60.02
With the nearest neighbours (Å) after each atom.
Atoms (fractional coordinates):
Sc1 0.2500 0.2500 0.2500  6 Se 2.74
Se1 0.9945 0.9945 0.0197  3 Sc 2.74, 3 Ag 2.89-2.91
Se2 0.5055 0.5055 0.4803  3 Sc 2.74, 3 Ag 2.89-2.91
Ag1 0.7500 0.7500 0.7500  6 Se 2.89-2.91

No. 12
The following is a DFT calculation (GGA-PBE) of a geometry-optimized ScAgSe2 structure.

N(E_F) ... 0.162 states/eV/atom
Space-group type ... R3m, No. 160

Lattice parameters (Å, degrees): 7.4075 7.4075 7.4075 32.97 32.97 32.97
With the nearest neighbours (Å) after each atom.
Atoms (fractional coordinates):
Ag1 0.5106 0.5106 0.5106  3 Se 2.48
Sc1 0.7561 0.7561 0.7561  3 Se 2.72
Se1 0.0314 0.0314 0.0314  3 Sc 2.72
Se2 0.2018 0.2018 0.2018  3 Ag 2.48

Computed spin magnetization, in the same sequence as the records: 0.00, 0.00, 0.00, 0.00, 0.00, 0.00, 0.00, 0.00, 0.00, 0.00, 0.00, 0.00 μB/atom.
Computed volume, in the same sequence as the records: 231, 84, 355, 79, 80, 84, 217, 81, 82, 89, 89, 107 Å³/cell.
Computed formation energy without anion corrections, in the same sequence as the records: -3.91, -2.85, -8.37, -1.18, -2.95, 0.16, -4.15, -1.44, -3.01, -3.85, -4.17, -2.92 eV per formula unit.